# 1
V4CrCoO12 | PBEsol | relaxed

Structure (POSCAR):
```
V4CrCoO12
1.0
-3.178 2.786 -3.770
-2.137 -4.612 -4.182
-6.133 -0.306 2.370
O V Cr Co
12 4 1 1
Direct
0.098 0.032 0.190
0.981 0.089 0.633
0.514 0.911 0.372
0.817 0.666 0.622
0.902 0.810 0.968
0.183 0.378 0.334
0.486 0.628 0.089
0.318 0.615 0.653
0.019 0.367 0.911
0.682 0.347 0.385
0.630 0.184 0.027
0.370 0.973 0.816
0.985 0.205 0.391
0.506 0.801 0.612
0.494 0.388 0.199
0.015 0.609 0.795
0.000 0.082 0.918
0.500 0.915 0.085
```

Crystal system: monoclinic
E_form (uncorrected), eV per atom: -2.078

# 2
CrCoOs | PBEsol | relaxed

Structure (POSCAR):
```
CrCoOs
1.0
2.604 0.000 0.000
-1.302 2.255 0.000
0.000 0.000 6.155
Cr Os Co
1 1 1
Direct
0.667 0.333 0.675
0.333 0.667 0.337
0.000 0.000 0.988
```

DFT formation energy, eV/atom: 0.204
Crystal system: trigonal

# 3
Cr2CoOs | PBEsol | relaxed

Structure (POSCAR):
```
Cr2CoOs
1.0
3.595 0.000 0.000
0.000 3.595 0.000
-1.798 -1.798 3.601
Co Cr Os
1 2 1
Direct
0.250 0.750 0.500
0.000 0.000 0.000
0.750 0.250 0.500
0.500 0.500 0.000
```

DFT formation energy, eV/atom: 0.081
Crystal system: tetragonal

# 4
Cr2CoOs | PBEsol | relaxed

Structure (POSCAR):
```
Cr2CoOs
1.0
-2.021 2.587 1.443
-1.408 -2.382 2.300
2.618 0.730 2.358
Cr Co Os
2 1 1
Direct
0.000 0.000 0.500
0.000 0.500 0.000
0.500 0.000 0.000
0.500 0.500 0.500
```

DFT formation energy, eV/atom: 0.050
Crystal system: tetragonal

# 5
CrCoOs2 | PBEsol | relaxed

Structure (POSCAR):
```
CrCoOs2
1.0
3.589 0.000 0.000
0.000 3.709 0.000
0.000 0.000 3.709
Co Os Cr
1 2 1
Direct
0.500 0.500 0.500
0.000 0.000 0.500
0.000 0.500 0.000
0.500 0.000 0.000
```

DFT formation energy, eV/atom: 0.061
Crystal system: tetragonal

# 6
CrCoOs2 | PBEsol | relaxed

Structure (POSCAR):
```
CrCoOs2
1.0
2.636 0.000 0.000
0.000 4.432 0.005
0.000 -1.316 4.232
Cr Co Os
1 1 2
Direct
0.500 0.500 0.500
0.500 0.000 0.000
0.000 0.500 0.000
0.000 0.000 0.500
```

DFT formation energy, eV/atom: 0.125
Crystal system: orthorhombic

# 7
CrCoOs2 | PBEsol | relaxed

Structure (POSCAR):
```
CrCoOs2
1.0
-0.367 2.555 0.406
-3.535 -0.579 0.442
0.760 -0.708 5.151
Cr Co Os
1 1 2
Direct
0.500 0.500 0.500
0.500 0.500 0.000
0.000 0.000 0.752
0.000 0.000 0.248
```

DFT formation energy, eV/atom: 0.127
Crystal system: orthorhombic

# 8
CrCoOs2 | PBEsol | relaxed

Structure (POSCAR):
```
CrCoOs2
1.0
2.626 0.000 0.000
0.000 3.956 0.000
-1.313 0.000 4.736
Os Co Cr
2 1 1
Direct
0.297 0.500 0.594
0.953 0.000 0.906
0.689 0.000 0.377
0.565 0.500 0.130
```

DFT formation energy, eV/atom: 0.073
Crystal system: orthorhombic